Record 1
SiPbSN2 | PBE-GGA | optimized geometry

Values from the calculation:
crystal system = tetragonal
formation energy from raw total energies = 2.45 eV per formula unit
distance to the lowest polymorph of the same formula = 0 meV/atom

Geometry as POSCAR:
```
SiPbSN2
1.0
3.7397 0.0000 0.0000
0.0000 3.7397 0.0000
0.0000 0.0000 5.0104
Si Pb S N
1 1 1 2
direct
0.0000 0.0000 0.0000
0.5000 0.5000 0.5000
0.0000 0.0000 0.5000
0.0000 0.5000 0.0000
0.5000 0.0000 0.0000
```

***

Record 2
SiPbSN2 | PBE-GGA | optimized geometry

Values from the calculation:
crystal system = tetragonal
formation energy from raw total energies = 9.15 eV per formula unit
distance to the lowest polymorph of the same formula = 1340 meV/atom

Geometry as POSCAR:
```
SiPbSN2
1.0
4.2799 0.0000 0.0000
0.0000 4.2799 0.0000
0.0000 0.0000 5.4453
Si Pb S N
1 1 1 2
direct
0.0000 0.0000 0.0000
0.5000 0.5000 0.5000
0.5000 0.5000 0.0000
0.0000 0.5000 0.5000
0.5000 0.0000 0.5000
```

***

Record 3
SnPbSN2 | PBE-GGA | optimized geometry

Values from the calculation:
crystal system = tetragonal
formation energy from raw total energies = 6.80 eV per formula unit
distance to the lowest polymorph of the same formula = 490 meV/atom

Geometry as POSCAR:
```
SnPbSN2
1.0
4.3785 0.0000 0.0000
0.0000 4.3785 0.0000
0.0000 0.0000 5.4358
Sn Pb S N
1 1 1 2
direct
0.0000 0.0000 0.0000
0.5000 0.5000 0.5000
0.5000 0.5000 0.0000
0.0000 0.5000 0.5000
0.5000 0.0000 0.5000
```

***

Record 4
SnPbSN2 | PBE-GGA | optimized geometry

Values from the calculation:
crystal system = tetragonal
formation energy from raw total energies = 4.35 eV per formula unit
distance to the lowest polymorph of the same formula = 0 meV/atom

Geometry as POSCAR:
```
SnPbSN2
1.0
4.2453 0.0000 0.0000
0.0000 4.2453 0.0000
0.0000 0.0000 5.2565
Sn Pb S N
1 1 1 2
direct
0.0000 0.0000 0.0000
0.5000 0.5000 0.5000
0.0000 0.0000 0.5000
0.0000 0.5000 0.0000
0.5000 0.0000 0.0000
```

***

Record 5
SrPbS2N | PBE-GGA | optimized geometry

Values from the calculation:
crystal system = tetragonal
formation energy from raw total energies = -0.21 eV per formula unit
distance to the lowest polymorph of the same formula = 0 meV/atom

Geometry as POSCAR:
```
SrPbS2N
1.0
5.3055 0.0000 0.0000
0.0000 5.3055 0.0000
0.0000 0.0000 4.3525
Sr Pb S N
1 1 2 1
direct
0.0000 0.0000 0.0000
0.5000 0.5000 0.5000
0.0000 0.5000 0.5000
0.5000 0.0000 0.5000
0.5000 0.5000 0.0000
```

***

Record 6
SrPbS2N | PBE-GGA | optimized geometry

Values from the calculation:
crystal system = tetragonal
formation energy from raw total energies = 2.21 eV per formula unit
distance to the lowest polymorph of the same formula = 483 meV/atom

Geometry as POSCAR:
```
SrPbS2N
1.0
5.5700 0.0000 0.0000
0.0000 5.5700 0.0000
0.0000 0.0000 4.7626
Sr Pb S N
1 1 2 1
direct
0.0000 0.0000 0.0000
0.5000 0.5000 0.5000
0.0000 0.5000 0.0000
0.5000 0.0000 0.0000
0.0000 0.0000 0.5000
```

***

Record 7
SrPbSN2 | PBE-GGA | optimized geometry

Values from the calculation:
crystal system = tetragonal
formation energy from raw total energies = 2.81 eV per formula unit
distance to the lowest polymorph of the same formula = 0 meV/atom

Geometry as POSCAR:
```
SrPbSN2
1.0
4.4241 0.0000 0.0000
0.0000 4.4241 0.0000
0.0000 0.0000 5.4499
Sr Pb S N
1 1 1 2
direct
0.0000 0.0000 0.0000
0.5000 0.5000 0.5000
0.5000 0.5000 0.0000
0.0000 0.5000 0.5000
0.5000 0.0000 0.5000
```

***

Record 8
SrPbSN2 | PBE-GGA | optimized geometry

Values from the calculation:
crystal system = tetragonal
formation energy from raw total energies = 5.28 eV per formula unit
distance to the lowest polymorph of the same formula = 496 meV/atom

Geometry as POSCAR:
```
SrPbSN2
1.0
4.7718 0.0000 0.0000
0.0000 4.7718 0.0000
0.0000 0.0000 5.7774
Sr Pb S N
1 1 1 2
direct
0.0000 0.0000 0.0000
0.5000 0.5000 0.5000
0.0000 0.0000 0.5000
0.0000 0.5000 0.0000
0.5000 0.0000 0.0000
```